[1]
Here is AlAs2 after structural relaxation from Alexandria via LeMat-Bulk. Energies are from PBE.

Energy of formation: 1.2 eV/f.u.
Electronic total energy: -3.951 eV/atom
Spin magnetization: 0.0 μB/cell
Crystal system: hexagonal

Cell: 5.289 5.289 11.156 Å, 90.00 90.00 120.00°
Fractional positions:
Al (0.333, 0.667, 0.043)
Al (0.333, 0.667, 0.457)
Al (0.667, 0.333, 0.543)
Al (0.667, 0.333, 0.957)
As (0.000, 0.000, 0.000)
As (0.000, 0.000, 0.500)
As (0.156, 0.312, 0.250)
As (0.156, 0.844, 0.250)
As (0.312, 0.156, 0.750)
As (0.688, 0.844, 0.250)
As (0.844, 0.156, 0.750)
As (0.844, 0.688, 0.750)

---

[2]
Here is AlAs2 after structural relaxation from Alexandria via LeMat-Bulk. Energies are from PBE.

Energy of formation: 0.0 eV/f.u.
Electronic total energy: -4.334 eV/atom
Spin magnetization: 0.0 μB/cell
Crystal system: trigonal

Cell: 3.814 3.814 4.696 Å, 90.00 90.00 120.00°
Fractional positions:
Al (0.000, 0.000, 0.000)
As (0.333, 0.667, 0.307)
As (0.667, 0.333, 0.693)

---

[3]
Here is Al5As4 after structural relaxation from Alexandria via LeMat-Bulk. Energies are from PBE.

Energy of formation: 0.5 eV/f.u.
Electronic total energy: -4.095 eV/atom
Spin magnetization: 0.0 μB/cell
Crystal system: tetragonal

Cell: 7.283 7.283 7.283 Å, 93.45 93.45 151.60°
Fractional positions:
Al (0.000, 0.000, 0.000)
Al (0.336, 0.336, 0.671)
Al (0.336, 0.664, 0.000)
Al (0.664, 0.336, 0.000)
Al (0.664, 0.664, 0.329)
As (0.000, 0.271, 0.271)
As (0.000, 0.729, 0.729)
As (0.271, 0.000, 0.271)
As (0.729, 0.000, 0.729)

---

[4]
Here is Al5As3 after structural relaxation from Alexandria via LeMat-Bulk. Energies are from PBE.

Energy of formation: 0.8 eV/f.u.
Electronic total energy: -3.985 eV/atom
Spin magnetization: 0.0 μB/cell
Crystal system: hexagonal
Energy above the lowest structure with this stoichiometry: 168.6 meV per atom

Cell: 7.608 7.608 5.993 Å, 90.00 90.00 120.00°
Fractional positions:
Al (0.000, 0.215, 0.250)
Al (0.000, 0.785, 0.750)
Al (0.215, 0.000, 0.250)
Al (0.215, 0.215, 0.750)
Al (0.333, 0.667, 0.000)
Al (0.333, 0.667, 0.500)
Al (0.667, 0.333, 0.000)
Al (0.667, 0.333, 0.500)
Al (0.785, 0.000, 0.750)
Al (0.785, 0.785, 0.250)
As (0.000, 0.401, 0.750)
As (0.000, 0.599, 0.250)
As (0.401, 0.000, 0.750)
As (0.401, 0.401, 0.250)
As (0.599, 0.000, 0.250)
As (0.599, 0.599, 0.750)

---

[5]
Here is Al2As after structural relaxation from Alexandria via LeMat-Bulk. Energies are from PBE.

Energy of formation: 0.4 eV/f.u.
Electronic total energy: -3.926 eV/atom
Spin magnetization: 0.0 μB/cell
Crystal system: hexagonal

Cell: 7.318 7.318 3.589 Å, 90.00 90.00 120.00°
Fractional positions:
Al (0.000, 0.273, 0.000)
Al (0.000, 0.597, 0.500)
Al (0.273, 0.000, 0.000)
Al (0.403, 0.403, 0.500)
Al (0.597, 0.000, 0.500)
Al (0.727, 0.727, 0.000)
As (0.000, 0.000, 0.500)
As (0.333, 0.667, 0.000)
As (0.667, 0.333, 0.000)

---

[6]
Here is AlAs2 after structural relaxation from Alexandria via LeMat-Bulk. Energies are from PBE.

Energy of formation: 0.0 eV/f.u.
Electronic total energy: -4.342 eV/atom
Spin magnetization: 0.0 μB/cell
Crystal system: hexagonal

Cell: 3.815 3.815 10.156 Å, 90.00 90.00 120.00°
Fractional positions:
Al (0.000, 0.000, 0.250)
Al (0.000, 0.000, 0.750)
As (0.333, 0.667, 0.115)
As (0.333, 0.667, 0.385)
As (0.667, 0.333, 0.615)
As (0.667, 0.333, 0.885)

---

[7]
Here is AlAs2 after structural relaxation from Alexandria via LeMat-Bulk. Energies are from PBE.

Energy of formation: 0.0 eV/f.u.
Electronic total energy: -4.358 eV/atom
Spin magnetization: 0.0 μB/cell
Crystal system: monoclinic

Cell: 5.711 5.711 8.295 Å, 112.15 112.15 32.82°
Fractional positions:
Al (0.167, 0.167, 0.268)
Al (0.833, 0.833, 0.732)
As (0.384, 0.384, 0.990)
As (0.391, 0.391, 0.519)
As (0.609, 0.609, 0.481)
As (0.616, 0.616, 0.010)

---

[8]
Here is Al2As after structural relaxation from Alexandria via LeMat-Bulk. Energies are from PBE.

Energy of formation: -0.1 eV/f.u.
Electronic total energy: -4.063 eV/atom
Spin magnetization: 0.0 μB/cell
Crystal system: monoclinic

Cell: 6.104 6.104 5.409 Å, 98.79 98.79 35.16°
Fractional positions:
Al (0.022, 0.022, 0.265)
Al (0.335, 0.335, 0.305)
Al (0.665, 0.665, 0.695)
Al (0.978, 0.978, 0.735)
As (0.333, 0.333, 0.799)
As (0.667, 0.667, 0.201)

---

[9]
Here is Al2As after structural relaxation from Alexandria via LeMat-Bulk. Energies are from PBE.

Energy of formation: -0.1 eV/f.u.
Electronic total energy: -4.077 eV/atom
Spin magnetization: 0.0 μB/cell
Crystal system: tetragonal

Cell: 5.386 5.386 5.386 Å, 118.88 118.88 91.96°
Fractional positions:
Al (0.177, 0.677, 0.854)
Al (0.323, 0.177, 0.500)
Al (0.677, 0.823, 0.500)
Al (0.823, 0.323, 0.146)
As (0.250, 0.250, 0.000)
As (0.750, 0.750, 0.000)

---

[10]
Here is AlAs2 after structural relaxation from Alexandria via LeMat-Bulk. Energies are from PBE.

Energy of formation: 0.1 eV/f.u.
Electronic total energy: -4.298 eV/atom
Spin magnetization: 0.0 μB/cell
Crystal system: orthorhombic

Cell: 6.225 5.103 7.459 Å, 90.00 90.00 90.00°
Fractional positions:
Al (0.250, 0.250, 0.000)
Al (0.250, 0.750, 0.500)
Al (0.750, 0.250, 0.500)
Al (0.750, 0.750, 0.000)
As (0.129, 0.250, 0.363)
As (0.129, 0.750, 0.137)
As (0.371, 0.250, 0.637)
As (0.371, 0.750, 0.863)
As (0.629, 0.250, 0.137)
As (0.629, 0.750, 0.363)
As (0.871, 0.250, 0.863)
As (0.871, 0.750, 0.637)

---

[11]
Here is Al2As after structural relaxation from Alexandria via LeMat-Bulk. Energies are from PBE.

Energy of formation: -0.2 eV/f.u.
Electronic total energy: -4.120 eV/atom
Spin magnetization: 0.0 μB/cell
Crystal system: hexagonal

Cell: 3.765 3.765 9.606 Å, 90.00 90.00 120.00°
Fractional positions:
Al (0.333, 0.667, 0.096)
Al (0.333, 0.667, 0.404)
Al (0.667, 0.333, 0.596)
Al (0.667, 0.333, 0.904)
As (0.000, 0.000, 0.250)
As (0.000, 0.000, 0.750)

---

[12]
Here is AlAs2 after structural relaxation from Alexandria via LeMat-Bulk. Energies are from PBE.

Energy of formation: 0.3 eV/f.u.
Electronic total energy: -4.235 eV/atom
Spin magnetization: 0.0 μB/cell
Crystal system: tetragonal

Cell: 4.055 4.055 3.770 Å, 90.00 90.00 90.00°
Fractional positions:
Al (0.000, 0.000, 0.000)
As (0.000, 0.500, 0.500)
As (0.500, 0.000, 0.500)

---

[13]
Here is Al6As after structural relaxation from Alexandria via LeMat-Bulk. Energies are from PBE.

Energy of formation: 6.5 eV/f.u.
Electronic total energy: -2.939 eV/atom
Spin magnetization: 0.0 μB/cell
Crystal system: cubic

Cell: 6.287 6.287 6.287 Å, 109.47 109.47 109.47°
Fractional positions:
Al (0.250, 0.500, 0.750)
Al (0.250, 0.750, 0.500)
Al (0.500, 0.250, 0.750)
Al (0.500, 0.750, 0.250)
Al (0.750, 0.250, 0.500)
Al (0.750, 0.500, 0.250)
As (0.000, 0.000, 0.000)

---

[14]
Here is Al2As after structural relaxation from Alexandria via LeMat-Bulk. Energies are from PBE.

Energy of formation: 0.1 eV/f.u.
Electronic total energy: -4.007 eV/atom
Spin magnetization: 0.0 μB/cell
Crystal system: tetragonal

Cell: 3.914 3.914 3.876 Å, 90.00 90.00 90.00°
Fractional positions:
Al (0.000, 0.500, 0.000)
Al (0.500, 0.000, 0.000)
As (0.000, 0.000, 0.500)

---

[15]
Here is AlAs2 after structural relaxation from Alexandria via LeMat-Bulk. Energies are from PBE.

Energy of formation: 0.2 eV/f.u.
Electronic total energy: -4.293 eV/atom
Spin magnetization: 0.0 μB/cell
Crystal system: tetragonal

Cell: 5.893 5.893 5.893 Å, 145.89 145.89 49.01°
Fractional positions:
Al (0.000, 0.000, 0.000)
As (0.384, 0.384, 0.000)
As (0.616, 0.616, 0.000)

---

[16]
Here is AlAsAu2 after structural relaxation from Alexandria via LeMat-Bulk. Energies are from PBE.

Energy of formation: -0.2 eV/f.u.
Electronic total energy: -3.779 eV/atom
Spin magnetization: 0.0 μB/cell
Crystal system: monoclinic
Energy above the lowest structure with this stoichiometry: 50.1 meV per atom

Cell: 5.544 5.544 3.961 Å, 110.68 110.68 119.52°
Fractional positions:
Al (0.000, 0.000, 0.000)
As (0.500, 0.500, 0.000)
Au (0.000, 0.500, 0.500)
Au (0.500, 0.000, 0.500)

---

[17]
Here is AlAsAu2 after structural relaxation from Alexandria via LeMat-Bulk. Energies are from PBE.

Energy of formation: -0.1 eV/f.u.
Electronic total energy: -3.753 eV/atom
Spin magnetization: 0.0 μB/cell
Crystal system: monoclinic
Energy above the lowest structure with this stoichiometry: 75.9 meV per atom

Cell: 3.086 4.846 5.228 Å, 90.00 105.74 90.00°
Fractional positions:
Al (0.000, 0.000, 0.000)
As (0.872, 0.500, 0.666)
Au (0.592, 0.500, 0.120)
Au (0.718, 0.000, 0.449)

---

[18]
Here is Al2As4Au after structural relaxation from Alexandria via LeMat-Bulk. Energies are from PBE.

Energy of formation: 2.6 eV/f.u.
Electronic total energy: -3.820 eV/atom
Spin magnetization: 0.0 μB/cell
Crystal system: tetragonal

Cell: 8.243 8.243 8.243 Å, 145.66 145.66 49.36°
Fractional positions:
Al (0.090, 0.090, 0.000)
Al (0.910, 0.910, 0.000)
As (0.000, 0.500, 0.500)
As (0.254, 0.254, 0.000)
As (0.500, 0.000, 0.500)
As (0.746, 0.746, 0.000)
Au (0.500, 0.500, 0.000)

---

[19]
Here is AlAsAu2 after structural relaxation from Alexandria via LeMat-Bulk. Energies are from PBE.

Energy of formation: -0.2 eV/f.u.
Electronic total energy: -3.785 eV/atom
Spin magnetization: 0.0 μB/cell
Crystal system: orthorhombic
Energy above the lowest structure with this stoichiometry: 44.0 meV per atom

Cell: 2.947 3.023 7.995 Å, 90.00 90.00 90.00°
Fractional positions:
Al (0.000, 0.000, 0.000)
As (0.000, 0.000, 0.500)
Au (0.500, 0.500, 0.216)
Au (0.500, 0.500, 0.784)

---

[20]
Here is Al2AsAu after structural relaxation from Alexandria via LeMat-Bulk. Energies are from PBE.

Energy of formation: 0.0 eV/f.u.
Electronic total energy: -3.850 eV/atom
Spin magnetization: 0.0 μB/cell
Crystal system: tetragonal

Cell: 2.920 2.920 8.382 Å, 90.00 90.00 90.00°
Fractional positions:
Al (0.000, 0.000, 0.000)
Al (0.500, 0.500, 0.234)
As (0.000, 0.000, 0.474)
Au (0.500, 0.500, 0.788)

---

[21]
Here is AlAsAu2 after structural relaxation from Alexandria via LeMat-Bulk. Energies are from PBE.

Energy of formation: 0.2 eV/f.u.
Electronic total energy: -3.683 eV/atom
Spin magnetization: 0.0 μB/cell
Crystal system: cubic
Energy above the lowest structure with this stoichiometry: 146.0 meV per atom

Cell: 4.678 4.678 4.678 Å, 60.00 60.00 60.00°
Fractional positions:
Al (0.000, 0.000, 0.000)
As (0.500, 0.500, 0.500)
Au (0.250, 0.250, 0.250)
Au (0.750, 0.750, 0.750)

---

[22]
Here is AlAs2Au2 after structural relaxation from Alexandria via LeMat-Bulk. Energies are from PBE.

Energy of formation: 0.9 eV/f.u.
Electronic total energy: -3.741 eV/atom
Spin magnetization: 0.0 μB/cell
Crystal system: tetragonal

Cell: 7.113 7.113 3.938 Å, 90.00 90.00 90.00°
Fractional positions:
Al (0.000, 0.000, 0.000)
Al (0.500, 0.500, 0.000)
As (0.178, 0.322, 0.000)
As (0.322, 0.822, 0.000)
As (0.678, 0.178, 0.000)
As (0.822, 0.678, 0.000)
Au (0.139, 0.639, 0.500)
Au (0.361, 0.139, 0.500)
Au (0.639, 0.861, 0.500)
Au (0.861, 0.361, 0.500)

---

[23]
Here is Al2AsAu after structural relaxation from Alexandria via LeMat-Bulk. Energies are from PBE.

Energy of formation: 0.0 eV/f.u.
Electronic total energy: -3.847 eV/atom
Spin magnetization: 0.0 μB/cell
Crystal system: tetragonal

Cell: 4.854 4.854 4.854 Å, 127.35 127.35 77.68°
Fractional positions:
Al (0.250, 0.750, 0.500)
Al (0.750, 0.250, 0.500)
As (0.000, 0.000, 0.000)
Au (0.500, 0.500, 0.000)

---

[24]
Here is AlAsAu2 after structural relaxation from Alexandria via LeMat-Bulk. Energies are from PBE.

Energy of formation: -0.2 eV/f.u.
Electronic total energy: -3.780 eV/atom
Spin magnetization: 0.0 μB/cell
Crystal system: tetragonal
Energy above the lowest structure with this stoichiometry: 48.4 meV per atom

Cell: 3.768 3.768 5.527 Å, 90.00 90.00 90.00°
Fractional positions:
Al (0.000, 0.000, 0.000)
As (0.500, 0.500, 0.449)
Au (0.000, 0.000, 0.476)
Au (0.500, 0.500, 0.943)

---

[25]
Here is Al2AsAu after structural relaxation from Alexandria via LeMat-Bulk. Energies are from PBE.

Energy of formation: -0.9 eV/f.u.
Electronic total energy: -4.067 eV/atom
Spin magnetization: 0.0 μB/cell
Crystal system: trigonal

Cell: 6.666 6.666 6.666 Å, 32.24 32.24 32.24°
Fractional positions:
Al (0.248, 0.248, 0.248)
Al (0.752, 0.752, 0.752)
As (0.500, 0.500, 0.500)
Au (0.000, 0.000, 0.000)

---

[26]
Here is AlAsAu4 after structural relaxation from Alexandria via LeMat-Bulk. Energies are from PBE.

Energy of formation: 1.1 eV/f.u.
Electronic total energy: -3.393 eV/atom
Spin magnetization: 0.0 μB/cell
Crystal system: cubic

Cell: 5.507 5.507 5.507 Å, 60.00 60.00 60.00°
Fractional positions:
Al (0.000, 0.000, 0.000)
As (0.750, 0.750, 0.750)
Au (0.375, 0.375, 0.375)
Au (0.375, 0.375, 0.875)
Au (0.375, 0.875, 0.375)
Au (0.875, 0.375, 0.375)

---

[27]
Here is Al2AsAu2 after structural relaxation from Alexandria via LeMat-Bulk. Energies are from PBE.

Energy of formation: -0.3 eV/f.u.
Electronic total energy: -3.808 eV/atom
Spin magnetization: 0.0 μB/cell
Crystal system: tetragonal
Energy above the lowest structure with this stoichiometry: 51.4 meV per atom

Cell: 7.703 7.703 3.055 Å, 90.00 90.00 90.00°
Fractional positions:
Al (0.173, 0.327, 0.000)
Al (0.327, 0.827, 0.000)
Al (0.673, 0.173, 0.000)
Al (0.827, 0.673, 0.000)
As (0.000, 0.000, 0.000)
As (0.500, 0.500, 0.000)
Au (0.129, 0.629, 0.500)
Au (0.371, 0.129, 0.500)
Au (0.629, 0.871, 0.500)
Au (0.871, 0.371, 0.500)